Cs2K2Rb5 | PBE | optimized geometry

```
data_Cs2K2Rb5
_cell_length_a 7.274
_cell_length_b 13.191
_cell_length_c 11.002
_cell_angle_alpha 124.01
_cell_angle_beta 90.00
_cell_angle_gamma 106.01
_symmetry_space_group_name_H-M 'P 1'
_symmetry_Int_Tables_number 1
loop_
_symmetry_equiv_pos_as_xyz
'x,y,z'
loop_
_atom_site_label
_atom_site_type_symbol
_atom_site_fract_x
_atom_site_fract_y
_atom_site_fract_z
Cs1 Cs 0.664 0.329 0.330
Cs2 Cs 0.336 0.671 0.670
K1 K 0.223 0.446 0.098
K2 K 0.777 0.554 0.902
Rb1 Rb 0.439 0.877 0.221
Rb2 Rb 0.561 0.123 0.779
Rb3 Rb 0.889 0.777 0.430
Rb4 Rb 0.111 0.223 0.570
Rb5 Rb 0.000 0.000 0.000
```

## Properties
- Formation enthalpy at 0 K: 0.007 eV per atom
- D(E_F): 8.0 states/eV per cell